# 1
This record from the Alexandria database describes a relaxed structure of Ac3ZnGa2O9. The functional is PBE.

Output
space group	P-3m1 (164)
total magnetization	0.00	μB per formula unit
uncorrected formation energy	-36.99	eV per formula unit
density	8.969	g cm⁻³

POSCAR file:
```
Ac3ZnGa2O9
1.0
-1.625 -5.334 -0.812
3.295 2.550 -3.793
5.625 -2.230 3.387
O Ac Zn Ga
9 3 1 2
Cartesian
4.593 -4.237 -0.912 O
2.976 -5.488 0.949 O
2.702 -0.777 -0.307 O
3.521 -2.143 -2.567 O
1.648 1.275 -1.897 O
4.319 0.475 -2.168 O
-0.813 -2.667 -0.406 O
3.773 -2.871 1.348 O
0.835 -1.392 -2.303 O
5.375 -1.553 -0.560 Ac
0.000 0.000 0.000 Ac
1.919 -3.461 -0.659 Ac
2.812 -1.115 1.693 Zn
4.725 -4.573 1.030 Ga
2.569 -0.440 -2.249 Ga
```


# 2
This record from the Alexandria database describes a relaxed structure of Ni2Ge2Pt. The functional is PBE.

Output
space group	P4/mbm (127)
total magnetization	0.00	μB per formula unit
density	11.134	g cm⁻³
uncorrected energy	-5.625	eV/atom

POSCAR file:
```
Ni2Ge2Pt
1.0
-4.252 -2.389 4.710
5.037 -0.019 4.539
-0.695 2.780 0.783
Ge Ni Pt
4 4 2
Cartesian
-2.005 -1.565 3.779 Ge
-0.303 -2.033 6.953 Ge
2.790 -0.842 5.469 Ge
1.088 -0.374 2.296 Ge
-1.207 0.518 2.723 Ni
2.278 1.052 3.922 Ni
-2.188 -0.680 6.109 Ni
1.297 -0.147 7.308 Ni
0.392 -1.204 4.624 Pt
0.000 0.000 0.000 Pt
```


# 3
This record from the Alexandria database describes a relaxed structure of Ce2UIn. The functional is PBE.

Output
space group	P4/mmm (123)
total magnetization	2.11	μB per formula unit
density	10.842	g cm⁻³
uncorrected energy	-6.503	eV/atom

POSCAR file:
```
Ce2UIn
1.0
3.058 0.000 0.000
0.000 3.058 0.000
0.000 0.000 10.371
Ce In U
2 1 1
Cartesian
0.000 0.000 7.859 Ce
0.000 0.000 2.513 Ce
1.529 1.529 5.186 In
1.529 1.529 0.000 U
```


# 4
This record from the Alexandria database describes a relaxed structure of CdCuCl. The functional is PBE.

Output
space group	R3m (160)
total magnetization	0.00	μB per formula unit
uncorrected formation energy	-0.76	eV per formula unit
density	5.613	g cm⁻³

POSCAR file:
```
CdCuCl
1.0
-2.796 -0.687 2.008
2.190 -2.590 -0.904
9.593 3.084 14.410
Cu Cd Cl
3 3 3
Cartesian
6.836 1.241 13.009 Cu
2.103 -1.449 2.431 Cu
4.772 1.534 7.168 Cu
7.538 0.298 10.596 Cd
0.614 0.197 0.922 Cd
2.678 -0.096 6.763 Cd
6.061 -0.177 8.378 Cl
1.201 -0.571 4.545 Cl
8.731 2.806 13.115 Cl
```


# 5
This record from the Alexandria database describes a relaxed structure of CsK4Br2. The functional is PBE.

Output
space group	I4/mmm (139)
total magnetization	0.00	μB per formula unit
uncorrected formation energy	-3.62	eV per formula unit
density	1.409	g cm⁻³

POSCAR file:
```
CsK4Br2
1.0
-0.170 2.518 6.976
-7.215 -1.672 0.427
-1.466 -8.360 6.926
K Br Cs
4 2 1
Cartesian
-3.607 -0.836 0.214 K
-2.573 -3.993 5.323 K
-6.278 -3.522 9.006 K
-0.085 1.259 3.488 K
-3.275 -1.225 4.306 Br
-5.576 -6.290 10.023 Br
0.000 0.000 0.000 Cs
```


# 6
This record from the Alexandria database describes a relaxed structure of ZrBeSb2. The functional is PBE.

Output
space group	R-3m (166)
total magnetization	0.00	μB per formula unit
uncorrected formation energy	-0.03	eV per formula unit
density	6.596	g cm⁻³

POSCAR file:
```
ZrBeSb2
1.0
7.544 -0.013 -0.008
6.634 3.591 -0.008
6.634 1.674 3.177
Sb Zr Be
2 1 1
Cartesian
0.251 0.063 0.038 Sb
10.155 2.562 1.542 Sb
5.203 1.313 0.790 Zr
15.609 3.939 2.370 Be
```


# 7
This record from the Alexandria database describes a relaxed structure of YZn2Au. The functional is PBE.

Output
space group	Pmm2 (25)
total magnetization	0.00	μB per formula unit
density	8.319	g cm⁻³
uncorrected energy	-3.464	eV/atom

POSCAR file:
```
YZn2Au
1.0
4.520 0.000 0.000
0.000 3.416 -0.037
0.000 0.060 5.387
Zn Y Au
2 1 1
Cartesian
2.260 0.869 1.266 Zn
0.000 0.854 0.068 Zn
2.260 2.606 3.940 Y
0.000 0.884 2.751 Au
```


# 8
This record from the Alexandria database describes a relaxed structure of SmEr2PaSb4. The functional is PBE.

Output
space group	P2/m (10)
total magnetization	0.91	μB per formula unit
uncorrected formation energy	-7.58	eV per formula unit
density	8.384	g cm⁻³

POSCAR file:
```
SmEr2PaSb4
1.0
4.381 0.000 0.000
0.000 7.606 0.144
0.000 -2.645 7.101
Pa Er Sb Sm
1 2 4 1
Cartesian
2.190 3.803 0.072 Pa
0.000 2.481 3.622 Er
2.190 -1.322 3.550 Er
2.190 3.693 5.395 Sb
0.000 5.025 1.916 Sb
2.190 1.269 1.850 Sb
0.000 -0.064 5.329 Sb
0.000 0.000 0.000 Sm
```


# 9
This record from the Alexandria database describes a relaxed structure of BaCd12. The functional is PBE.

Output
space group	I4/mmm (139)
total magnetization	0.00	μB per formula unit
density	7.785	g cm⁻³
uncorrected energy	-1.127	eV/atom

POSCAR file:
```
BaCd12
1.0
-0.276 -4.731 3.704
6.803 -3.913 0.394
1.962 1.843 7.383
Cd Ba
12 1
Cartesian
2.891 -1.792 7.694 Cd
5.598 -5.009 3.787 Cd
0.981 0.921 3.692 Cd
6.633 -5.022 8.731 Cd
5.543 -3.018 6.325 Cd
0.843 -1.444 5.544 Cd
2.946 -3.783 5.156 Cd
1.856 -1.779 2.750 Cd
3.687 -0.208 4.892 Cd
3.264 -4.322 2.049 Cd
5.078 -1.862 2.885 Cd
3.402 -1.956 0.197 Cd
0.000 0.000 0.000 Ba
```


# 10
This record from the Alexandria database describes a relaxed structure of Pm2SbO2. The functional is PBE.

Output
space group	Fddd (70)
total magnetization	0.00	μB per formula unit
uncorrected formation energy	-12.35	eV per formula unit
density	7.052	g cm⁻³

POSCAR file:
```
Pm2SbO2
1.0
6.348 -0.462 -0.158
-1.771 6.114 -0.158
-2.139 -2.641 5.648
O Sb Pm
4 2 4
Cartesian
1.848 4.357 -0.114 O
-0.370 1.618 2.622 O
2.809 1.393 2.710 O
0.591 -1.346 5.446 O
-1.291 4.632 1.254 Sb
3.730 -1.621 4.078 Sb
-1.779 2.841 4.078 Pm
1.320 2.517 1.254 Pm
1.119 0.494 4.078 Pm
4.218 0.170 1.254 Pm
```


# 11
This record from the Alexandria database describes a relaxed structure of AcPmYAg. The functional is PBE.

Output
space group	F-43m (216)
total magnetization	0.00	μB per formula unit
density	7.534	g cm⁻³
uncorrected energy	-4.377	eV/atom

POSCAR file:
```
AcPmYAg
1.0
-3.857 -4.064 -0.408
-1.479 -2.935 4.555
-5.087 0.717 2.274
Ag Y Ac Pm
1 1 1 1
Cartesian
0.000 0.000 0.000 Ag
-7.817 -4.712 4.816 Y
-5.212 -3.141 3.211 Ac
-2.606 -1.571 1.605 Pm
```


# 12
This record from the Alexandria database describes a relaxed structure of MnFe5Pd8. The functional is PBE.

Output
space group	I-4 (82)
total magnetization	22.13	μB per formula unit
density	9.221	g cm⁻³
uncorrected energy	-6.524	eV/atom

POSCAR file:
```
MnFe5Pd8
1.0
6.522 -0.020 0.034
-2.226 6.131 -0.034
-2.071 -3.110 5.346
Pd Mn Fe
8 1 5
Cartesian
3.547 0.554 1.850 Pd
0.819 0.437 2.354 Pd
4.585 -1.538 3.418 Pd
1.480 -0.429 4.947 Pd
-2.122 3.011 2.527 Pd
-0.773 4.096 0.358 Pd
1.547 2.867 1.368 Pd
-0.180 3.006 4.562 Pd
-1.035 0.728 4.001 Mn
-0.696 1.473 0.562 Fe
2.209 2.028 3.923 Fe
2.226 -1.565 2.690 Fe
-0.449 -2.544 5.204 Fe
3.387 5.044 1.003 Fe
```


# 13
This record from the Alexandria database describes a relaxed structure of Na2YTmO4. The functional is PBE.

Output
space group	P2/m (10)
total magnetization	0.00	μB per formula unit
uncorrected formation energy	-22.57	eV per formula unit
density	5.474	g cm⁻³

POSCAR file:
```
Na2YTmO4
1.0
3.399 0.000 0.000
0.000 5.888 0.101
0.000 -2.059 5.540
Na O Y Tm
2 4 1 1
Cartesian
1.699 -1.029 2.770 Na
0.000 1.915 2.821 Na
0.000 -0.101 4.399 O
1.699 0.937 1.183 O
0.000 3.930 1.242 O
1.699 2.892 4.458 O
1.699 2.944 0.051 Y
0.000 0.000 0.000 Tm
```


# 14
This record from the Alexandria database describes a relaxed structure of CuReHg2. The functional is PBE.

Output
space group	I4/mmm (139)
total magnetization	0.01	μB per formula unit
density	15.464	g cm⁻³
uncorrected energy	-3.365	eV/atom

POSCAR file:
```
CuReHg2
1.0
5.037 0.017 0.000
1.641 4.762 0.000
-3.339 -2.389 2.918
Re Cu Hg
1 1 2
Cartesian
0.820 2.381 1.459 Re
2.518 0.008 1.459 Cu
3.339 2.389 0.000 Hg
0.000 0.000 0.000 Hg
```


# 15
This record from the Alexandria database describes a relaxed structure of Sm8InRh2. The functional is PBE.

Output
space group	C2/m (12)
total magnetization	0.00	μB per formula unit
density	7.803	g cm⁻³
uncorrected energy	-5.342	eV/atom

POSCAR file:
```
Sm8InRh2
1.0
-4.327 0.993 3.315
1.433 -7.664 2.380
5.058 5.563 3.150
In Sm Rh
1 8 2
Cartesian
-2.164 0.497 1.658 In
1.494 1.299 1.429 Sm
1.580 0.916 7.610 Sm
2.616 -0.971 4.373 Sm
1.995 2.777 4.617 Sm
-0.452 -0.136 4.473 Sm
0.584 -2.024 1.236 Sm
0.169 -3.885 4.229 Sm
0.669 -2.407 7.417 Sm
3.972 1.602 2.920 Rh
2.519 -3.703 2.611 Rh
```


# 16
This record from the Alexandria database describes a relaxed structure of KLaMo. The functional is PBE.

Output
space group	P3m1 (156)
total magnetization	0.96	μB per formula unit
density	4.865	g cm⁻³
uncorrected energy	-4.589	eV/atom

POSCAR file:
```
KLaMo
1.0
-1.037 -3.337 0.079
2.589 0.976 -2.136
5.890 -1.680 6.370
Mo K La
1 1 1
Cartesian
5.133 -1.532 2.661 Mo
5.661 -1.615 6.122 K
2.538 -2.574 1.899 La
```